Density functional theory data (PBE) for a relaxed NaSrLi crystal.

CIF file:
```
data_NaSrLi
_chemical_formula_sum 'Na1 Sr1 Li1'
_space_group_name_H-M_alt 'P 3 m 1'
_space_group_IT_number 156
_cell_length_a 5.6252
_cell_length_b 5.6252
_cell_length_c 4.2027
_cell_angle_alpha 90.00
_cell_angle_beta 90.00
_cell_angle_gamma 120.00
loop_
_space_group_symop_operation_xyz
'x,y,z'
'-y,x-y,z'
'-x+y,-x,z'
'-y,-x,z'
'-x+y,y,z'
'x,x-y,z'
loop_
_atom_site_label
_atom_site_type_symbol
_atom_site_fract_x
_atom_site_fract_y
_atom_site_fract_z
_atom_site_occupancy
Na1 Na 0.0000 0.0000 0.0000 1
Sr1 Sr 0.6667 0.3333 0.4986 1
Li1 Li 0.3333 0.6667 0.9985 1
```

Energy (eV/atom): -1.56
Calculated formation energy (eV/f.u.): 0.2
E above lowest polymorph (meV/atom): 47.4

=====

Density functional theory data (PBE) for a relaxed NaSr3Li8 crystal.

CIF file:
```
data_NaSr3Li8
_chemical_formula_sum 'Na3 Sr9 Li24'
_space_group_name_H-M_alt 'R 3 m'
_space_group_IT_number 160
_space_group_name_Hall 'R 3 -2"'
_cell_length_a 6.3899
_cell_length_b 6.3899
_cell_length_c 31.2089
_cell_angle_alpha 90.00
_cell_angle_beta 90.00
_cell_angle_gamma 120.00
loop_
_atom_site_label
_atom_site_type_symbol
_atom_site_fract_x
_atom_site_fract_y
_atom_site_fract_z
_atom_site_occupancy
Na1 Na 0.0000 0.0000 0.0000 1
Sr1 Sr 0.0000 0.0000 0.1221 1
Sr2 Sr 0.0000 0.0000 0.5034 1
Sr3 Sr 0.0000 0.0000 0.6316 1
Li1 Li 0.0000 0.0000 0.3155 1
Li2 Li 0.0000 0.0000 0.8140 1
Li3 Li 0.0050 0.5025 0.0645 1
Li4 Li 0.1674 0.3348 0.8987 1
```

Energy (eV/atom): -1.78
Calculated formation energy (eV/f.u.): 0.3

=====

Density functional theory data (PBE) for a relaxed Na3Sr6Li crystal.

CIF file:
```
data_Na3Sr6Li
_chemical_formula_sum 'Na6 Sr12 Li2'
_space_group_name_H-M_alt 'P n n m'
_space_group_IT_number 58
_cell_length_a 11.102
_cell_length_b 13.361
_cell_length_c 6.367
_cell_angle_alpha 90.00
_cell_angle_beta 90.00
_cell_angle_gamma 90.00
loop_
_space_group_symop_operation_xyz
'x,y,z'
'-x,-y,-z'
'-x,-y,z'
'x,y,-z'
'x+1/2,-y+1/2,-z+1/2'
'-x+1/2,y+1/2,z+1/2'
'-x+1/2,y+1/2,-z+1/2'
'x+1/2,-y+1/2,z+1/2'
loop_
_atom_site_label
_atom_site_type_symbol
_atom_site_fract_x
_atom_site_fract_y
_atom_site_fract_z
_atom_site_occupancy
Na1 Na 0.000 0.000 0.000 1
Na2 Na 0.165 0.242 0.500 1
Sr1 Sr 0.002 0.743 0.000 1
Sr2 Sr 0.162 0.577 0.500 1
Sr3 Sr 0.173 0.918 0.500 1
Li1 Li 0.000 0.500 0.000 1
```

Energy (eV/atom): -1.51
Calculated formation energy (eV/f.u.): 0.9
E above lowest polymorph (meV/atom): 45.6

=====

Density functional theory data (PBE) for a relaxed Na3SrLi crystal.

CIF file:
```
data_Na3SrLi
_chemical_formula_sum 'Na3 Sr1 Li1'
_space_group_name_H-M_alt 'P m -3 m'
_space_group_IT_number 221
_space_group_name_Hall '-P 4 2 3'
_cell_length_a 6.786
_cell_length_b 6.786
_cell_length_c 6.786
_cell_angle_alpha 90.00
_cell_angle_beta 90.00
_cell_angle_gamma 90.00
loop_
_atom_site_label
_atom_site_type_symbol
_atom_site_fract_x
_atom_site_fract_y
_atom_site_fract_z
_atom_site_occupancy
Na1 Na 0.000 0.000 0.500 1
Sr1 Sr 0.000 0.000 0.000 1
Li1 Li 0.500 0.500 0.500 1
```

Energy (eV/atom): -0.88
Calculated formation energy (eV/f.u.): 3.1
E above lowest polymorph (meV/atom): 576.9

=====

Density functional theory data (PBE) for a relaxed NaSr2Li crystal.

CIF file:
```
data_NaSr2Li
_chemical_formula_sum 'Na3 Sr6 Li3'
_space_group_name_H-M_alt 'R 3 m'
_space_group_IT_number 160
_space_group_name_Hall 'R 3 -2"'
_cell_length_a 4.1118
_cell_length_b 4.1118
_cell_length_c 36.3778
_cell_angle_alpha 90.00
_cell_angle_beta 90.00
_cell_angle_gamma 120.00
loop_
_atom_site_label
_atom_site_type_symbol
_atom_site_fract_x
_atom_site_fract_y
_atom_site_fract_z
_atom_site_occupancy
Na1 Na 0.0000 0.0000 0.0000 1
Sr1 Sr 0.0000 0.0000 0.2448 1
Sr2 Sr 0.0000 0.0000 0.4222 1
Li1 Li 0.0000 0.0000 0.8336 1
```

Energy (eV/atom): -1.53
Calculated formation energy (eV/f.u.): 0.5
E above lowest polymorph (meV/atom): 91.4

=====

Density functional theory data (PBE) for a relaxed Na2Sr6Li crystal.

CIF file:
```
data_Na2Sr6Li
_chemical_formula_sum 'Na4 Sr12 Li2'
_space_group_name_H-M_alt 'C 1 2/m 1'
_space_group_IT_number 12
_cell_length_a 13.727
_cell_length_b 6.589
_cell_length_c 11.546
_cell_angle_alpha 90.00
_cell_angle_beta 125.02
_cell_angle_gamma 90.00
loop_
_space_group_symop_operation_xyz
'x,y,z'
'-x,-y,-z'
'-x,y,-z'
'x,-y,z'
'x+1/2,y+1/2,z'
'-x+1/2,-y+1/2,-z'
'-x+1/2,y+1/2,-z'
'x+1/2,-y+1/2,z'
loop_
_atom_site_label
_atom_site_type_symbol
_atom_site_fract_x
_atom_site_fract_y
_atom_site_fract_z
_atom_site_occupancy
Na1 Na 0.105 0.000 0.462 1
Sr1 Sr 0.055 0.500 0.213 1
Sr2 Sr 0.190 0.000 0.883 1
Sr3 Sr 0.192 0.500 0.670 1
Li1 Li 0.000 0.000 0.000 1
```

Energy (eV/atom): -1.60
Calculated formation energy (eV/f.u.): 0.3